No. 1
PBE-GGA Tb3Zn3Au, relaxed; ΔH_f (0 K) = -302.0 kJ/mol of formula units
1.0
-1.807 2.243 9.751
1.807 -2.243 9.751
1.807 2.243 -9.751
Tb Zn Au
3 3 1
direct
0.000 0.000 0.000
0.386 0.386 0.000
0.696 0.196 0.500
0.124 0.624 0.500
0.554 0.554 0.000
0.837 0.837 0.000
0.259 0.759 0.500



No. 2
PBE-GGA Y2GeMo, relaxed; ΔH_f (0 K) = 160.5 kJ/mol of formula units
1.0
-3.974 3.974 2.925
3.974 -3.974 2.925
3.974 3.974 -2.925
Y Ge Mo
4 2 2
direct
0.122 0.625 0.997
0.375 0.372 0.497
0.628 0.125 0.003
0.875 0.878 0.503
0.250 0.750 0.500
0.500 0.500 0.000
0.000 0.000 0.000
0.750 0.250 0.500



No. 3
PBE-GGA Sr4BeSi, relaxed; formation energy without anion corrections = 1.00 eV/atom
1.0
0.000 4.855 4.855
4.855 0.000 4.855
4.855 4.855 0.000
Sr Be Si
4 1 1
direct
0.376 0.376 0.376
0.376 0.376 0.873
0.376 0.873 0.376
0.873 0.376 0.376
0.000 0.000 0.000
0.750 0.750 0.750



No. 4
PBE-GGA ZrZnCu, relaxed; ΔH_f (0 K) = -61.4 kJ/mol of formula units
1.0
12.335 0.000 0.000
0.000 3.456 0.000
0.000 0.000 7.002
Zr Zn Cu
6 6 6
direct
0.049 0.000 0.247
0.250 0.000 0.845
0.451 0.000 0.247
0.549 0.000 0.753
0.750 0.000 0.155
0.951 0.000 0.753
0.114 0.500 0.573
0.250 0.500 0.184
0.386 0.500 0.573
0.614 0.500 0.427
0.750 0.500 0.816
0.886 0.500 0.427
0.092 0.500 0.940
0.250 0.000 0.447
0.408 0.500 0.940
0.592 0.500 0.060
0.750 0.000 0.553
0.908 0.500 0.060



no.,size of the total moment (Bohr magnetons per cell),E_tot (eV for the cell shown)
1,0.00,-24.12
2,0.00,-53.43
3,0.00,-9.90
4,0.00,-87.33